## CaTa2W (GGA-PBE)

Data for an optimized crystal structure of CaTa2W.

Values from the calculation:
DFT total energy in eV per atom: -9.13
Energy of formation from the pure elements in meV/atom: 533
Crystal system: monoclinic
Relative energy among the computed polymorphs in eV per formula unit: 0.48

Lattice parameters (Å, degrees): 4.601 2.904 6.231 81.16 90.00 90.00
Positions (direct):
Ca: 0.500 0.750 0.750
W: 0.500 0.250 0.250
Ta: 0.000 0.018 0.051
Ta: 0.000 0.482 0.449

---

## CaTa2W (GGA-PBE)

Data for an optimized crystal structure of CaTa2W.

Values from the calculation:
DFT total energy in eV per atom: -9.20
Energy of formation from the pure elements in meV/atom: 465
Crystal system: orthorhombic
Relative energy among the computed polymorphs in eV per formula unit: 0.21

Lattice parameters (Å, degrees): 2.905 2.905 10.011 90.00 90.00 110.25
Positions (direct):
Ca: 0.500 0.500 0.739
W: 0.000 0.000 0.474
Ta: 0.000 0.000 0.028
Ta: 0.500 0.500 0.259

---

## CaTa2W (GGA-PBE)

Data for an optimized crystal structure of CaTa2W.

Values from the calculation:
DFT total energy in eV per atom: -9.25
Energy of formation from the pure elements in meV/atom: 412
Crystal system: orthorhombic
Relative energy among the computed polymorphs in eV per formula unit: 0.00

Lattice parameters (Å, degrees): 2.951 2.951 10.004 90.00 90.00 111.99
Positions (direct):
Ca: 0.500 0.500 0.750
W: 0.500 0.500 0.250
Ta: 0.000 0.000 0.036
Ta: 0.000 0.000 0.464

---

## CaTa2W (GGA-PBE)

Data for an optimized crystal structure of CaTa2W.

Values from the calculation:
DFT total energy in eV per atom: -9.20
Energy of formation from the pure elements in meV/atom: 464
Crystal system: tetragonal
Relative energy among the computed polymorphs in eV per formula unit: 0.21

Lattice parameters (Å, degrees): 3.314 3.314 7.955 90.00 90.00 90.00
Positions (direct):
Ca: 0.500 0.500 0.750
W: 0.500 0.500 0.250
Ta: 0.000 0.000 0.069
Ta: 0.000 0.000 0.431

---

## CaTa2W (GGA-PBE)

Data for an optimized crystal structure of CaTa2W.

Values from the calculation:
DFT total energy in eV per atom: -9.11
Energy of formation from the pure elements in meV/atom: 556
Crystal system: monoclinic
Relative energy among the computed polymorphs in eV per formula unit: 0.58

Lattice parameters (Å, degrees): 4.686 2.874 6.284 82.40 90.00 90.00
Positions (direct):
Ca: 0.500 0.832 0.742
W: 0.000 0.499 0.446
Ta: 0.000 0.905 0.061
Ta: 0.500 0.264 0.251

---

## CaTa2W (GGA-PBE)

Data for an optimized crystal structure of CaTa2W.

Values from the calculation:
DFT total energy in eV per atom: -8.92
Energy of formation from the pure elements in meV/atom: 748
Crystal system: orthorhombic
Relative energy among the computed polymorphs in eV per formula unit: 1.34

Lattice parameters (Å, degrees): 5.661 5.661 2.732 90.00 90.00 116.93
Positions (direct):
Ca: 0.000 0.500 0.500
W: 0.500 0.000 0.500
Ta: 0.000 0.000 0.000
Ta: 0.500 0.500 0.000

---

## CaTaW2 (GGA-PBE)

Data for an optimized crystal structure of CaTaW2.

Values from the calculation:
DFT total energy in eV per atom: -8.93
Energy of formation from the pure elements in meV/atom: 1006
Crystal system: tetragonal
Relative energy among the computed polymorphs in eV per formula unit: 2.07

Lattice parameters (Å, degrees): 4.570 4.067 4.067 90.00 90.00 90.00
Positions (direct):
Ca: 0.500 0.500 0.000
W: 0.000 0.000 0.000
W: 0.000 0.500 0.500
Ta: 0.500 0.000 0.500

---

## CaTa2W (GGA-PBE)

Data for an optimized crystal structure of CaTa2W.

Values from the calculation:
DFT total energy in eV per atom: -9.07
Energy of formation from the pure elements in meV/atom: 590
Crystal system: tetragonal
Relative energy among the computed polymorphs in eV per formula unit: 0.71

Lattice parameters (Å, degrees): 2.799 2.799 10.250 90.00 90.00 90.00
Positions (direct):
Ca: 0.500 0.500 0.750
W: 0.500 0.500 0.250
Ta: 0.000 0.000 0.030
Ta: 0.000 0.000 0.470

---

## CaTa3W (GGA-PBE)

Data for an optimized crystal structure of CaTa3W.

Values from the calculation:
DFT total energy in eV per atom: -8.92
Energy of formation from the pure elements in meV/atom: 1181
Crystal system: cubic
Relative energy among the computed polymorphs in eV per formula unit: 0.00

Lattice parameters (Å, degrees): 4.968 4.968 4.968 90.00 90.00 90.00
Positions (direct):
Ca: 0.500 0.500 0.500
W: 0.000 0.000 0.000
Ta: 0.000 0.500 0.000
Ta: 0.000 0.000 0.500
Ta: 0.500 0.000 0.000

---

## CaTa2W (GGA-PBE)

Data for an optimized crystal structure of CaTa2W.

Values from the calculation:
DFT total energy in eV per atom: -9.04
Energy of formation from the pure elements in meV/atom: 629
Crystal system: orthorhombic
Relative energy among the computed polymorphs in eV per formula unit: 0.87

Lattice parameters (Å, degrees): 5.866 5.866 5.866 148.91 126.90 62.82
Positions (direct):
Ca: 0.250 0.750 0.500
W: 0.750 0.250 0.500
Ta: 0.965 0.965 0.000
Ta: 0.535 0.535 0.000

---

## CaTa2W (GGA-PBE)

Data for an optimized crystal structure of CaTa2W.

Values from the calculation:
DFT total energy in eV per atom: -8.55
Energy of formation from the pure elements in meV/atom: 1119
Crystal system: tetragonal
Relative energy among the computed polymorphs in eV per formula unit: 2.83

Lattice parameters (Å, degrees): 7.729 7.729 6.210 51.52 51.52 90.00
Positions (direct):
Ca: 0.500 0.500 0.000
Ca: 0.250 0.750 0.500
W: 0.000 0.000 0.000
W: 0.750 0.250 0.500
Ta: 0.671 0.125 0.250
Ta: 0.079 0.625 0.250
Ta: 0.375 0.329 0.750
Ta: 0.875 0.921 0.750

---

## CaTa2W (GGA-PBE)

Data for an optimized crystal structure of CaTa2W.

Values from the calculation:
DFT total energy in eV per atom: -8.87
Energy of formation from the pure elements in meV/atom: 797
Crystal system: cubic
Relative energy among the computed polymorphs in eV per formula unit: 1.54

Lattice parameters (Å, degrees): 4.792 4.792 4.792 60.00 60.00 60.00
Positions (direct):
Ca: 0.500 0.500 0.500
W: 0.250 0.250 0.250
Ta: 0.000 0.000 0.000
Ta: 0.750 0.750 0.750